Material: Ca6CdPt2
Method: DFT, GGA-PBE
State: optimized geometry

Results
ΔH_f (0 K)	-0.60	eV/atom
uncorrected energy	-3.38	eV/atom

Cell: 8.8623 8.8623 8.8623 Å, 102.24 112.33 114.08°
Atoms (fractional coordinates):
Ca 0.4712 0.2937 0.1775
Ca 0.5288 0.7063 0.8225
Ca 0.8838 0.7063 0.1775
Ca 0.1162 0.2937 0.8225
Ca 0.2000 0.7559 0.9559
Ca 0.8000 0.2441 0.0441
Ca 0.8000 0.7559 0.5560
Ca 0.2000 0.2441 0.4440
Ca 0.3213 0.9775 0.6562
Ca 0.6787 0.0225 0.3438
Ca 0.6787 0.3348 0.6562
Ca 0.3213 0.6652 0.3438
Cd 0.0000 0.5000 0.5000
Cd 0.0000 0.0000 0.0000
Pt 0.5000 0.3663 0.8663
Pt 0.5000 0.6337 0.1337
Pt 0.3027 0.0000 0.3027
Pt 0.6973 0.0000 0.6973